# 1
The following is a DFT calculation (PBE) of PmSm5Dy3 after structural relaxation.

Values from the calculation:
Formation energy in eV/atom: 0.408
Relative energy among the computed polymorphs in meV/atom: 235
Uncorrected energy in eV/atom: -4.28
Space-group type: C2/m, No. 12

The structure in POSCAR format:
```
PmSm5Dy3
1.0
-4.6093 -6.9997 -4.2552
-4.6505 -7.1619 3.9280
-12.5662 -2.2059 -0.1070
Pm Dy Sm
2 6 10
Direct
0.8938 0.8938 0.8691
0.1062 0.1062 0.1309
0.7015 0.7015 0.6867
0.1643 0.1643 0.6577
0.8357 0.8357 0.3423
0.0000 0.0000 0.5000
0.0000 0.0000 0.0000
0.2985 0.2985 0.3133
0.4885 0.0851 0.7764
0.4411 0.4411 0.4266
0.6818 0.3182 0.0000
0.3668 0.3668 0.9377
0.3182 0.6818 0.0000
0.0851 0.4885 0.7764
0.9149 0.5115 0.2236
0.5589 0.5589 0.5734
0.5115 0.9149 0.2236
0.6332 0.6332 0.0623
```

---

# 2
The following is a DFT calculation (PBE) of PaH6Cl12 after structural relaxation.

Values from the calculation:
Relative energy among the computed polymorphs in meV/atom: 0
Uncorrected energy in eV/atom: -3.58
Space-group type: R-3, No. 148

The structure in POSCAR format:
```
PaH6Cl12
1.0
-5.3819 6.3922 0.7605
-2.6493 -3.1861 7.2960
5.9112 4.4138 3.9973
H Cl Pa
6 12 1
Direct
0.3090 0.2970 0.5122
0.6910 0.7030 0.4878
0.5122 0.3090 0.2970
0.4878 0.6910 0.7030
0.2970 0.5122 0.3090
0.7030 0.4878 0.6910
0.0869 0.9367 0.2849
0.0633 0.7151 0.9131
0.8085 0.6047 0.4640
0.4640 0.8085 0.6047
0.7151 0.9131 0.0633
0.6047 0.4640 0.8085
0.9367 0.2849 0.0869
0.1915 0.3953 0.5360
0.5360 0.1915 0.3953
0.9131 0.0633 0.7151
0.3953 0.5360 0.1915
0.2849 0.0869 0.9367
0.0000 0.0000 0.0000
```

---

# 3
The following is a DFT calculation (PBE) of LuBeSi after structural relaxation.

Values from the calculation:
Uncorrected energy in eV/atom: -5.19
Space-group type: P-6m2, No. 187
Formation energy from raw total energies in eV/atom: -0.631

The structure in POSCAR format:
```
LuBeSi
1.0
3.9162 0.0000 0.0000
0.0000 3.8196 0.0000
0.0000 -1.9098 3.3079
Be Lu Si
1 1 1
Direct
0.1664 0.0000 0.0000
0.6668 0.6667 0.3333
0.1669 0.3333 0.6667
```

---

# 4
The following is a DFT calculation (PBE) of ZrPRh2 after structural relaxation.

Values from the calculation:
Formation energy in eV/atom: -0.574
Uncorrected energy in eV/atom: -7.74
Space-group type: Pmm2, No. 25

The structure in POSCAR format:
```
ZrPRh2
1.0
3.2384 0.0000 0.0000
0.0000 3.6152 0.0000
0.0000 0.0000 5.4887
Rh Zr P
2 1 1
Direct
0.5000 0.5000 0.2530
0.0000 0.0000 0.9508
0.0000 0.0000 0.4767
0.5000 0.5000 0.8195
```

---

# 5
The following is a DFT calculation (PBE) of Sm4PS2N after structural relaxation.

Values from the calculation:
Uncorrected energy in eV/atom: -6.87
Space-group type: P2/m, No. 10
Formation energy from raw total energies in eV/atom: -1.759

The structure in POSCAR format:
```
Sm4PS2N
1.0
-3.3305 -1.5448 1.3323
2.2734 0.5943 6.3719
-3.3745 5.7842 -1.7289
Sm P S N
4 1 2 1
Direct
0.5000 0.2233 0.2193
0.0000 0.7630 0.2289
0.0000 0.2370 0.7711
0.5000 0.7767 0.7807
0.5000 0.5000 0.0000
0.0000 0.5000 0.5000
0.5000 0.0000 0.5000
0.0000 0.0000 0.0000
```

---

# 6
The following is a DFT calculation (PBE) of SmTm2AgHg4 after structural relaxation.

Values from the calculation:
Formation energy in eV/atom: -0.370
Uncorrected energy in eV/atom: -2.59
Space-group type: R-3m, No. 166

The structure in POSCAR format:
```
SmTm2AgHg4
1.0
5.0520 0.0000 0.0000
2.5260 4.3751 0.0000
2.5260 1.4584 8.8266
Hg Ag Sm Tm
4 1 1 2
Direct
0.1248 0.1248 0.6257
0.8752 0.8752 0.3743
0.6203 0.6203 0.1391
0.3797 0.3797 0.8609
0.5000 0.5000 0.5000
0.0000 0.0000 0.0000
0.7597 0.7597 0.7208
0.2403 0.2403 0.2792
```